(1)
# PBE-GGA As2IN, optimized geometry
data_As2IN
_chemical_formula_sum 'As8 I4 N4'
_space_group_name_H-M_alt 'F m -3 m'
_space_group_IT_number 225
_space_group_name_Hall '-F 4 2 3'
_cell_length_a 6.695
_cell_length_b 6.695
_cell_length_c 6.695
_cell_angle_alpha 90.00
_cell_angle_beta 90.00
_cell_angle_gamma 90.00
loop_
_atom_site_label
_atom_site_type_symbol
_atom_site_fract_x
_atom_site_fract_y
_atom_site_fract_z
As1 As 0.250 0.250 0.250
I1 I 0.000 0.000 0.000
N1 N 0.000 0.000 0.500
# - DFT total energy: -3.1262 eV/atom
# - Offset from the most stable computed form: 898 meV/atom
# - ΔE_f (raw): 160.9 kJ/mol of atoms

=====

(2)
# PBE-GGA Li2Ga2AgAu2, optimized geometry
data_Li2Ga2AgAu2
_chemical_formula_sum 'Li4 Ga4 Ag2 Au4'
_space_group_name_H-M_alt 'C 1 2/m 1'
_space_group_IT_number 12
_space_group_name_Hall '-C 2y'
_cell_length_a 7.776
_cell_length_b 4.459
_cell_length_c 7.198
_cell_angle_alpha 90.00
_cell_angle_beta 110.78
_cell_angle_gamma 90.00
loop_
_atom_site_label
_atom_site_type_symbol
_atom_site_fract_x
_atom_site_fract_y
_atom_site_fract_z
Li1 Li 0.137 0.000 0.409
Ga1 Ga 0.077 0.500 0.735
Ag1 Ag 0.000 0.000 0.000
Au1 Au 0.233 0.500 0.199
# - DFT total energy: -3.1203 eV/atom
# - Energy relative to the elements: -0.36 eV per atom

=====

(3)
# PBE-GGA La2NdHoP4, optimized geometry
data_La2NdHoP4
_chemical_formula_sum 'La2 Nd1 Ho1 P4'
_space_group_name_H-M_alt 'P 1 2/m 1'
_space_group_IT_number 10
_space_group_name_Hall '-P 2y'
_cell_length_a 7.232
_cell_length_b 4.180
_cell_length_c 7.236
_cell_angle_alpha 90.00
_cell_angle_beta 109.44
_cell_angle_gamma 90.00
loop_
_atom_site_label
_atom_site_type_symbol
_atom_site_fract_x
_atom_site_fract_y
_atom_site_fract_z
La1 La 0.000 0.000 0.000
La2 La 0.500 0.500 0.000
Nd1 Nd 0.000 0.500 0.500
Ho1 Ho 0.500 0.000 0.500
P1 P 0.252 0.000 0.742
P2 P 0.259 0.500 0.261
# - DFT total energy: -6.6661 eV/atom
# - Energy relative to the elements: -1.56 eV per atom

=====

(4)
# PBE-GGA TbPm12Ho7, optimized geometry
data_TbPm12Ho7
_chemical_formula_sum 'Tb3 Pm36 Ho21'
_space_group_name_H-M_alt 'R -3'
_space_group_IT_number 148
_space_group_name_Hall '-R 3'
_cell_length_a 12.0884
_cell_length_b 12.0884
_cell_length_c 16.1475
_cell_angle_alpha 90.00
_cell_angle_beta 90.00
_cell_angle_gamma 120.00
loop_
_atom_site_label
_atom_site_type_symbol
_atom_site_fract_x
_atom_site_fract_y
_atom_site_fract_z
Tb1 Tb 0.0000 0.0000 0.0000
Pm1 Pm 0.0221 0.4494 0.2231
Pm2 Pm 0.0573 0.1885 0.2895
Ho1 Ho 0.0000 0.0000 0.5000
Ho2 Ho 0.0547 0.5875 0.5826
# - DFT total energy: -4.4559 eV/atom
# - Energy relative to the elements: 0.23 eV per atom
# - Offset from the most stable computed form: 0 meV/atom

=====

(5)
# PBE-GGA AcPmZnAu, optimized geometry
data_AcPmZnAu
_chemical_formula_sum 'Ac1 Pm1 Zn1 Au1'
_space_group_name_H-M_alt 'P 4 m m'
_space_group_IT_number 99
_space_group_name_Hall 'P 4 -2'
_cell_length_a 3.810
_cell_length_b 3.810
_cell_length_c 7.521
_cell_angle_alpha 90.00
_cell_angle_beta 90.00
_cell_angle_gamma 90.00
loop_
_atom_site_label
_atom_site_type_symbol
_atom_site_fract_x
_atom_site_fract_y
_atom_site_fract_z
Ac1 Ac 0.000 0.000 0.000
Pm1 Pm 0.000 0.000 0.500
Zn1 Zn 0.500 0.500 0.275
Au1 Au 0.500 0.500 0.723
# - DFT total energy: -3.8730 eV/atom
# - Energy relative to the elements: -0.52 eV per atom
# - Offset from the most stable computed form: 0 meV/atom

=====

(6)
# PBE-GGA TaIn2Ga, optimized geometry
data_TaIn2Ga
_chemical_formula_sum 'Ta3 In6 Ga3'
_space_group_name_H-M_alt 'R -3 m'
_space_group_IT_number 166
_space_group_name_Hall '-R 3 2"'
_cell_length_a 3.0118
_cell_length_b 3.0118
_cell_length_c 34.9653
_cell_angle_alpha 90.00
_cell_angle_beta 90.00
_cell_angle_gamma 120.00
loop_
_atom_site_label
_atom_site_type_symbol
_atom_site_fract_x
_atom_site_fract_y
_atom_site_fract_z
Ta1 Ta 0.0000 0.0000 0.0000
In1 In 0.0000 0.0000 0.0846
Ga1 Ga 0.0000 0.0000 0.5000
# - DFT total energy: -4.6058 eV/atom
# - Energy relative to the elements: 0.48 eV per atom

=====

(7)
# PBE-GGA PrNd2Y6Tm3, optimized geometry
data_PrNd2Y6Tm3
_chemical_formula_sum 'Pr2 Nd4 Y12 Tm6'
_space_group_name_H-M_alt 'C 1 2/m 1'
_space_group_IT_number 12
_space_group_name_Hall '-C 2y'
_cell_length_a 6.214
_cell_length_b 10.754
_cell_length_c 11.841
_cell_angle_alpha 90.00
_cell_angle_beta 100.05
_cell_angle_gamma 90.00
loop_
_atom_site_label
_atom_site_type_symbol
_atom_site_fract_x
_atom_site_fract_y
_atom_site_fract_z
Pr1 Pr 0.000 0.000 0.000
Nd1 Nd 0.000 0.333 0.000
Y1 Y 0.248 0.000 0.745
Y2 Y 0.248 0.333 0.745
Tm1 Tm 0.000 0.167 0.500
Tm2 Tm 0.000 0.500 0.500
# - DFT total energy: -5.5195 eV/atom
# - Energy relative to the elements: 0.02 eV per atom

=====

(8)
# PBE-GGA NdTl2GaTe4, optimized geometry
data_NdTl2GaTe4
_chemical_formula_sum 'Nd4 Tl8 Ga4 Te16'
_space_group_name_H-M_alt 'I m m a'
_space_group_IT_number 74
_space_group_name_Hall '-I 2b 2'
_cell_length_a 9.003
_cell_length_b 9.136
_cell_length_c 13.158
_cell_angle_alpha 90.00
_cell_angle_beta 90.00
_cell_angle_gamma 90.00
loop_
_atom_site_label
_atom_site_type_symbol
_atom_site_fract_x
_atom_site_fract_y
_atom_site_fract_z
Nd1 Nd 0.000 0.000 0.000
Tl1 Tl 0.000 0.000 0.500
Tl2 Tl 0.250 0.250 0.250
Ga1 Ga 0.250 0.250 0.750
Te1 Te 0.000 0.034 0.756
Te2 Te 0.238 0.250 0.983
# - DFT total energy: -3.7062 eV/atom
# - ΔE_f (raw): -54.9 kJ/mol of atoms